Computed, not measured: a relaxed structure of AsPdW at the PBE level of DFT.

crystal system = cubic
energy above the most stable polymorph in this dataset = 0.0 meV/atom
volume = 207 Å³ per cell
final energy = -7.31 eV/atom

Structure (CIF):
```
data_AsPdW
_symmetry_space_group_name_H-M 'F -4 3 m'
_symmetry_Int_Tables_number 216
_symmetry_space_group_name_Hall 'F -4 2 3'
_cell_length_a 5.914
_cell_length_b 5.914
_cell_length_c 5.914
_cell_angle_alpha 90.00
_cell_angle_beta 90.00
_cell_angle_gamma 90.00
loop_
_atom_site_label
_atom_site_type_symbol
_atom_site_fract_x
_atom_site_fract_y
_atom_site_fract_z
As1 As 0.000 0.000 0.000
Pd1 Pd 0.250 0.250 0.750
W1 W 0.250 0.250 0.250
```